VASP calculation (GGA-PBEsol) on a geometry-optimized Mo3IBr structure.

abc: 4.8854 4.8854 4.8854
angles: 90.00 90.00 90.00
Fractional positions:
Mo (0.0000, 0.0000, 0.5000)
Mo (0.0000, 0.5000, 0.0000)
Mo (0.5000, 0.0000, 0.0000)
I (0.0000, 0.0000, 0.0000)
Br (0.5000, 0.5000, 0.5000)

## Properties
V   23.320 Å³/atom

=====

VASP calculation (GGA-PBEsol) on a geometry-optimized MoI2BrO structure.

abc: 5.7478 5.7478 3.9094
angles: 90.00 90.00 90.00
Fractional positions:
Mo (0.0000, 0.0000, 0.0000)
I (0.0000, 0.5000, 0.5000)
I (0.5000, 0.0000, 0.5000)
Br (0.5000, 0.5000, 0.5000)
O (0.5000, 0.5000, 0.0000)

## Properties
V   25.831 Å³/atom

=====

We obtain density of states at the Fermi level values of 1.658; 0.796 states/eV/atom for the records listed above, in that order.
We obtain formation energy without anion corrections values of 2381; 1147 meV per atom for the records listed above, in that order.